The following is a GGA-PBE calculation of a geometry-optimized Hf2Sb2P structure, from Alexandria via LeMat-Bulk. Values from VASP.

Calculated total energy, eV for the cell shown: -71.19

Quantum ESPRESSO input file:
```
&SYSTEM
  ibrav = 0, nat = 10, ntyp = 3
/
ATOMIC_SPECIES
Sb 121.76 Sb.upf
Hf 178.49 Hf.upf
P 30.97 P.upf
ATOMIC_POSITIONS angstrom
Sb 1.064 4.702 2.066
Sb 4.702 6.211 2.066
Sb 6.211 2.573 2.066
Sb 2.573 1.064 2.066
Hf 2.480 6.118 0.000
Hf 6.118 4.795 0.000
Hf 4.795 1.157 0.000
Hf 1.157 2.480 0.000
P 0.000 0.000 0.000
P 3.638 3.638 0.000
CELL_PARAMETERS angstrom
7.275 0.000 0.000
0.000 7.275 0.000
0.000 0.000 4.131
```

=====

The following is a GGA-PBE calculation of a geometry-optimized HfSb2PSe structure, from Alexandria via LeMat-Bulk. Values from VASP.

Calculated total energy, eV for the cell shown: -24.50

Quantum ESPRESSO input file:
```
&SYSTEM
  ibrav = 0, nat = 5, ntyp = 4
/
ATOMIC_SPECIES
Sb 121.76 Sb.upf
Hf 178.49 Hf.upf
Se 78.96 Se.upf
P 30.97 P.upf
ATOMIC_POSITIONS angstrom
Sb -0.176 2.691 0.752
Sb -1.203 0.607 -2.454
Hf 0.000 0.000 0.000
Se -2.224 -0.421 0.986
P -3.604 2.877 -0.716
CELL_PARAMETERS angstrom
-2.406 1.213 -4.908
-4.449 -0.843 1.972
-0.353 5.382 1.503
```